[1]
Below is LiZn4Ru after structural relaxation, with properties calculated at the PBE level.

a b c (Å): 4.740 4.592 4.697
angles (deg): 62.00 80.28 101.75
Fractional positions:
Li 0.001 0.997 0.498
Zn 0.496 0.826 0.338
Zn 0.507 0.169 0.658
Zn 0.996 0.331 0.841
Zn 0.006 0.663 0.155
Ru 0.501 0.497 0.998

- Electronic total energy: -2.800 eV/atom
- Energy of formation: -85.8 meV/atom
- Symmetry: P-1

---

[2]
Below is LiZn2Ru after structural relaxation, with properties calculated at the PBE level.

a b c (Å): 4.224 4.224 4.224
angles (deg): 60.00 60.00 60.00
Fractional positions:
Li 0.500 0.500 0.500
Ru 0.750 0.750 0.750
Zn 0.000 0.000 0.000
Zn 0.250 0.250 0.250

- Electronic total energy: -3.441 eV/atom
- Energy of formation: -6.8 meV/atom
- Symmetry: F-43m

---

[3]
Below is LiZn2Ru after structural relaxation, with properties calculated at the PBE level.

a b c (Å): 3.959 2.612 5.891
angles (deg): 66.53 90.00 90.00
Fractional positions:
Li 0.500 0.250 0.250
Ru 0.500 0.750 0.750
Zn 0.000 0.019 0.993
Zn 0.000 0.481 0.507

- Electronic total energy: -3.518 eV/atom
- Energy of formation: -83.4 meV/atom
- Symmetry: P2/m

---

[4]
Below is LiZn2Ru after structural relaxation, with properties calculated at the PBE level.

a b c (Å): 2.743 2.743 8.983
angles (deg): 81.22 81.22 60.00
Fractional positions:
Li 0.500 0.500 0.500
Zn 0.082 0.082 0.755
Zn 0.252 0.252 0.245
Ru 0.667 0.667 0.000

- Electronic total energy: -3.460 eV/atom
- Energy of formation: -25.1 meV/atom
- Symmetry: R3m

---

[5]
Below is LiZn3Ru after structural relaxation, with properties calculated at the PBE level.

a b c (Å): 4.802 4.802 4.802
angles (deg): 90.00 90.00 90.00
Fractional positions:
Ru 0.000 0.000 0.000
Zn 0.000 0.500 0.000
Zn 0.000 0.000 0.500
Zn 0.500 0.000 0.000
Li 0.500 0.500 0.500

- Electronic total energy: -2.744 eV/atom
- Energy of formation: 258.7 meV/atom
- Symmetry: Pm-3m

---

[6]
Below is Li2Zn7Ru2 after structural relaxation, with properties calculated at the PBE level.

a b c (Å): 6.688 5.175 5.197
angles (deg): 68.67 82.97 91.43
Fractional positions:
Li 0.284 0.860 0.394
Li 0.716 0.140 0.606
Zn 0.020 0.443 0.255
Zn 0.363 0.863 0.893
Zn 0.980 0.557 0.745
Zn 0.637 0.137 0.107
Zn 0.000 0.000 0.000
Zn 0.633 0.646 0.587
Zn 0.367 0.354 0.413
Ru 0.311 0.352 0.916
Ru 0.689 0.648 0.084

- Electronic total energy: -2.955 eV/atom
- Energy of formation: -110.0 meV/atom
- Symmetry: P-1